The following is a DFT calculation (PBE-GGA) of crystalline Pr4CoSeCl2 at its relaxed geometry.

Summary:
DOS(E_F)   5.2 states/eV/f.u.
Magnetic moment   0.0000 μB per atom
ΔE_f (raw)   -28.17 kcal/mol of atoms
Crystal system   monoclinic

a = 4.015 Å, b = 7.582 Å, c = 7.478 Å
α = 108.08°, β = 90.00°, γ = 90.00°
Positions (direct):
1 Pr 0.500 0.260 0.227
2 Pr 0.500 0.740 0.773
3 Pr 0.000 0.290 0.792
4 Pr 0.000 0.710 0.208
5 Co 0.500 0.500 0.000
6 Se 0.000 0.000 0.000
7 Cl 0.500 0.000 0.500
8 Cl 0.000 0.500 0.500